No. 1
YFeGe after structural relaxation, computed with GGA-PBE.

CIF file:
```
data_YFeGe
_chemical_formula_sum 'Y4 Fe4 Ge4'
_symmetry_space_group_name_H-M 'I 4/m m m'
_symmetry_Int_Tables_number 139
_symmetry_space_group_name_Hall '-I 4 2'
_cell_length_a 4.056
_cell_length_b 4.056
_cell_length_c 13.523
_cell_angle_alpha 90.00
_cell_angle_beta 90.00
_cell_angle_gamma 90.00
loop_
_atom_site_label
_atom_site_fract_x
_atom_site_fract_y
_atom_site_fract_z
_atom_site_occupancy
Y1 0.000 0.000 0.151 1
Fe1 0.000 0.500 0.000 1
Ge1 0.000 0.000 0.394 1
```

---

No. 2
YFe2Ge3 after structural relaxation, computed with GGA-PBE.

CIF file:
```
data_YFe2Ge3
_chemical_formula_sum 'Y4 Fe8 Ge12'
_symmetry_space_group_name_H-M 'C m c m'
_symmetry_Int_Tables_number 63
_symmetry_space_group_name_Hall '-C 2c 2'
_cell_length_a 9.394
_cell_length_b 7.506
_cell_length_c 5.414
_cell_angle_alpha 90.00
_cell_angle_beta 90.00
_cell_angle_gamma 90.00
loop_
_atom_site_label
_atom_site_fract_x
_atom_site_fract_y
_atom_site_fract_z
_atom_site_occupancy
Y1 0.000 0.150 0.250 1
Fe1 0.206 0.500 0.000 1
Ge1 0.000 0.466 0.750 1
Ge2 0.178 0.210 0.750 1
```

---

No. 3
YFe2Ge2 after structural relaxation, computed with GGA-PBE.

CIF file:
```
data_YFe2Ge2
_chemical_formula_sum 'Y2 Fe4 Ge4'
_symmetry_space_group_name_H-M 'I 4/m m m'
_symmetry_Int_Tables_number 139
_symmetry_space_group_name_Hall '-I 4 2'
_cell_length_a 4.191
_cell_length_b 4.191
_cell_length_c 9.138
_cell_angle_alpha 90.00
_cell_angle_beta 90.00
_cell_angle_gamma 90.00
loop_
_atom_site_label
_atom_site_fract_x
_atom_site_fract_y
_atom_site_fract_z
_atom_site_occupancy
Y1 0.000 0.000 0.000 1
Fe1 0.000 0.000 0.385 1
Ge1 0.000 0.500 0.250 1
```

---

No. 4
YFe6Ge6 after structural relaxation, computed with GGA-PBE.

CIF file:
```
data_YFe6Ge6
_chemical_formula_sum 'Y2 Fe12 Ge12'
_symmetry_space_group_name_H-M 'I m m m'
_symmetry_Int_Tables_number 71
_symmetry_space_group_name_Hall '-I 2 2'
_cell_length_a 5.122
_cell_length_b 8.157
_cell_length_c 8.849
_cell_angle_alpha 90.00
_cell_angle_beta 90.00
_cell_angle_gamma 90.00
loop_
_atom_site_label
_atom_site_fract_x
_atom_site_fract_y
_atom_site_fract_z
_atom_site_occupancy
Y1 0.000 0.000 0.000 1
Fe1 0.000 0.249 0.500 1
Fe2 0.250 0.250 0.250 1
Ge1 0.000 0.000 0.337 1
Ge2 0.000 0.347 0.000 1
Ge3 0.000 0.500 0.330 1
```

---

No. 5
YFe6Ge6 after structural relaxation, computed with GGA-PBE.

CIF file:
```
data_YFe6Ge6
_chemical_formula_sum 'Y4 Fe24 Ge24'
_symmetry_space_group_name_H-M 'C m c m'
_symmetry_Int_Tables_number 63
_symmetry_space_group_name_Hall '-C 2c 2'
_cell_length_a 8.146
_cell_length_b 17.696
_cell_length_c 5.121
_cell_angle_alpha 90.00
_cell_angle_beta 90.00
_cell_angle_gamma 90.00
loop_
_atom_site_label
_atom_site_fract_x
_atom_site_fract_y
_atom_site_fract_z
_atom_site_occupancy
Y1 0.000 0.127 0.250 1
Fe1 0.249 0.000 0.000 1
Fe2 0.250 0.125 0.750 1
Fe3 0.250 0.250 0.000 1
Ge1 0.000 0.042 0.750 1
Ge2 0.000 0.211 0.750 1
Ge3 0.000 0.296 0.250 1
Ge4 0.000 0.459 0.250 1
Ge5 0.153 0.376 0.750 1
```

---

No. 6
YFe2Ge2 after structural relaxation, computed with GGA-PBE.

CIF file:
```
data_YFe2Ge2
_chemical_formula_sum 'Y2 Fe4 Ge4'
_symmetry_space_group_name_H-M 'I 4/m m m'
_symmetry_Int_Tables_number 139
_symmetry_space_group_name_Hall '-I 4 2'
_cell_length_a 3.966
_cell_length_b 3.966
_cell_length_c 10.251
_cell_angle_alpha 90.00
_cell_angle_beta 90.00
_cell_angle_gamma 90.00
loop_
_atom_site_label
_atom_site_fract_x
_atom_site_fract_y
_atom_site_fract_z
_atom_site_occupancy
Y1 0.000 0.000 0.000 1
Fe1 0.000 0.500 0.250 1
Ge1 0.000 0.000 0.373 1
```

---

No. 7
YFeGe3 after structural relaxation, computed with GGA-PBE.

CIF file:
```
data_YFeGe3
_chemical_formula_sum 'Y1 Fe1 Ge3'
_symmetry_space_group_name_H-M 'P m -3 m'
_symmetry_Int_Tables_number 221
_symmetry_space_group_name_Hall '-P 4 2 3'
_cell_length_a 4.565
_cell_length_b 4.565
_cell_length_c 4.565
_cell_angle_alpha 90.00
_cell_angle_beta 90.00
_cell_angle_gamma 90.00
loop_
_atom_site_label
_atom_site_fract_x
_atom_site_fract_y
_atom_site_fract_z
_atom_site_occupancy
Y1 0.000 0.000 0.000 1
Fe1 0.500 0.500 0.500 1
Ge1 0.000 0.500 0.500 1
```

---

No. 8
YFeGe2 after structural relaxation, computed with GGA-PBE.

CIF file:
```
data_YFeGe2
_chemical_formula_sum 'Y4 Fe4 Ge8'
_symmetry_space_group_name_H-M 'P n m a'
_symmetry_Int_Tables_number 62
_symmetry_space_group_name_Hall '-P 2ac 2n'
_cell_length_a 6.876
_cell_length_b 4.155
_cell_length_c 10.006
_cell_angle_alpha 90.00
_cell_angle_beta 90.00
_cell_angle_gamma 90.00
loop_
_atom_site_label
_atom_site_fract_x
_atom_site_fract_y
_atom_site_fract_z
_atom_site_occupancy
Y1 0.174 0.250 0.127 1
Fe1 0.020 0.750 0.389 1
Ge1 0.134 0.250 0.818 1
Ge2 0.180 0.250 0.427 1
```

---

No. 9
Y2Fe3Ge4 after structural relaxation, computed with GGA-PBE.

CIF file:
```
data_Y2Fe3Ge4
_chemical_formula_sum 'Y8 Fe12 Ge16'
_symmetry_space_group_name_H-M 'C m c e'
_symmetry_Int_Tables_number 64
_symmetry_space_group_name_Hall '-C 2ac 2'
_cell_length_a 5.466
_cell_length_b 14.680
_cell_length_c 7.345
_cell_angle_alpha 90.00
_cell_angle_beta 90.00
_cell_angle_gamma 90.00
loop_
_atom_site_label
_atom_site_fract_x
_atom_site_fract_y
_atom_site_fract_z
_atom_site_occupancy
Y1 0.000 0.111 0.095 1
Fe1 0.000 0.000 0.500 1
Fe2 0.250 0.223 0.750 1
Ge1 0.000 0.185 0.473 1
Ge2 0.250 0.057 0.750 1
```

---

No. 10
Y2Fe3Ge4 after structural relaxation, computed with GGA-PBE.

CIF file:
```
data_Y2Fe3Ge4
_chemical_formula_sum 'Y8 Fe12 Ge16'
_symmetry_space_group_name_H-M 'F m m m'
_symmetry_Int_Tables_number 69
_symmetry_space_group_name_Hall '-F 2 2'
_cell_length_a 5.278
_cell_length_b 9.354
_cell_length_c 12.342
_cell_angle_alpha 90.00
_cell_angle_beta 90.00
_cell_angle_gamma 90.00
loop_
_atom_site_label
_atom_site_fract_x
_atom_site_fract_y
_atom_site_fract_z
_atom_site_occupancy
Y1 0.000 0.000 0.137 1
Fe1 0.000 0.000 0.500 1
Fe2 0.250 0.250 0.000 1
Ge1 0.000 0.169 0.344 1
```

---

No. 11
YFeGe2 after structural relaxation, computed with GGA-PBE.

CIF file:
```
data_YFeGe2
_chemical_formula_sum 'Y3 Fe3 Ge6'
_symmetry_space_group_name_H-M 'R -3 m'
_symmetry_Int_Tables_number 166
_symmetry_space_group_name_Hall '-R 3 2"'
_cell_length_a 4.0592
_cell_length_b 4.0592
_cell_length_c 15.0828
_cell_angle_alpha 90.00
_cell_angle_beta 90.00
_cell_angle_gamma 120.00
loop_
_atom_site_label
_atom_site_fract_x
_atom_site_fract_y
_atom_site_fract_z
_atom_site_occupancy
Y1 0.0000 0.0000 0.0000 1
Fe1 0.0000 0.0000 0.5000 1
Ge1 0.0000 0.0000 0.2174 1
```

---

No. 12
YFe2Ge2 after structural relaxation, computed with GGA-PBE.

CIF file:
```
data_YFe2Ge2
_chemical_formula_sum 'Y2 Fe4 Ge4'
_symmetry_space_group_name_H-M 'P 4/m b m'
_symmetry_Int_Tables_number 127
_symmetry_space_group_name_Hall '-P 4 2ab'
_cell_length_a 7.192
_cell_length_b 7.192
_cell_length_c 2.892
_cell_angle_alpha 90.00
_cell_angle_beta 90.00
_cell_angle_gamma 90.00
loop_
_atom_site_label
_atom_site_fract_x
_atom_site_fract_y
_atom_site_fract_z
_atom_site_occupancy
Y1 0.000 0.000 0.000 1
Fe1 0.134 0.366 0.000 1
Ge1 0.156 0.656 0.500 1
```

---

No. 13
YFe3Ge3 after structural relaxation, computed with GGA-PBE.

CIF file:
```
data_YFe3Ge3
_chemical_formula_sum 'Y2 Fe6 Ge6'
_symmetry_space_group_name_H-M 'P m -3 n'
_symmetry_Int_Tables_number 223
_symmetry_space_group_name_Hall '-P 4n 2 3'
_cell_length_a 6.465
_cell_length_b 6.465
_cell_length_c 6.465
_cell_angle_alpha 90.00
_cell_angle_beta 90.00
_cell_angle_gamma 90.00
loop_
_atom_site_label
_atom_site_fract_x
_atom_site_fract_y
_atom_site_fract_z
_atom_site_occupancy
Y1 0.000 0.000 0.000 1
Fe1 0.000 0.250 0.500 1
Ge1 0.000 0.500 0.250 1
```

---

No. 14
YFe3Ge2 after structural relaxation, computed with GGA-PBE.

CIF file:
```
data_YFe3Ge2
_chemical_formula_sum 'Y4 Fe12 Ge8'
_symmetry_space_group_name_H-M 'C 1 2/m 1'
_symmetry_Int_Tables_number 12
_symmetry_space_group_name_Hall '-C 2y'
_cell_length_a 13.528
_cell_length_b 4.043
_cell_length_c 7.688
_cell_angle_alpha 90.00
_cell_angle_beta 115.36
_cell_angle_gamma 90.00
loop_
_atom_site_label
_atom_site_fract_x
_atom_site_fract_y
_atom_site_fract_z
_atom_site_occupancy
Y1 0.153 0.000 0.065 1
Fe1 0.038 0.000 0.373 1
Fe2 0.079 0.500 0.651 1
Fe3 0.190 0.500 0.474 1
Ge1 0.026 0.500 0.174 1
Ge2 0.187 0.000 0.699 1
```

---

No. 15
YFeGe4 after structural relaxation, computed with GGA-PBE.

CIF file:
```
data_YFeGe4
_chemical_formula_sum 'Y4 Fe4 Ge16'
_symmetry_space_group_name_H-M 'C 1 2/c 1'
_symmetry_Int_Tables_number 15
_symmetry_space_group_name_Hall '-C 2yc'
_cell_length_a 11.106
_cell_length_b 6.120
_cell_length_c 6.748
_cell_angle_alpha 90.00
_cell_angle_beta 96.15
_cell_angle_gamma 90.00
loop_
_atom_site_label
_atom_site_fract_x
_atom_site_fract_y
_atom_site_fract_z
_atom_site_occupancy
Y1 0.000 0.107 0.250 1
Fe1 0.250 0.250 0.000 1
Ge1 0.058 0.373 0.910 1
Ge2 0.245 0.115 0.650 1
```

---

No. 16
Y2Fe2Ge after structural relaxation, computed with GGA-PBE.

CIF file:
```
data_Y2Fe2Ge
_chemical_formula_sum 'Y4 Fe4 Ge2'
_symmetry_space_group_name_H-M 'P 4/m b m'
_symmetry_Int_Tables_number 127
_symmetry_space_group_name_Hall '-P 4 2ab'
_cell_length_a 6.502
_cell_length_b 6.502
_cell_length_c 4.328
_cell_angle_alpha 90.00
_cell_angle_beta 90.00
_cell_angle_gamma 90.00
loop_
_atom_site_label
_atom_site_fract_x
_atom_site_fract_y
_atom_site_fract_z
_atom_site_occupancy
Y1 0.182 0.318 0.000 1
Fe1 0.117 0.617 0.500 1
Ge1 0.000 0.000 0.500 1
```

---

No. 17
YFeGe3 after structural relaxation, computed with GGA-PBE.

CIF file:
```
data_YFeGe3
_chemical_formula_sum 'Y2 Fe2 Ge6'
_symmetry_space_group_name_H-M 'P m n 21'
_symmetry_Int_Tables_number 31
_symmetry_space_group_name_Hall 'P 2ac -2'
_cell_length_a 6.027
_cell_length_b 5.526
_cell_length_c 5.599
_cell_angle_alpha 90.00
_cell_angle_beta 90.00
_cell_angle_gamma 90.00
loop_
_atom_site_label
_atom_site_fract_x
_atom_site_fract_y
_atom_site_fract_z
_atom_site_occupancy
Y1 0.000 0.131 0.000 1
Fe1 0.000 0.618 0.254 1
Ge1 0.000 0.913 0.533 1
Ge2 0.235 0.352 0.458 1
```

---

No. 18
Y3FeGe3 after structural relaxation, computed with GGA-PBE.

CIF file:
```
data_Y3FeGe3
_chemical_formula_sum 'Y12 Fe4 Ge12'
_symmetry_space_group_name_H-M 'C 1 2/m 1'
_symmetry_Int_Tables_number 12
_symmetry_space_group_name_Hall '-C 2y'
_cell_length_a 10.701
_cell_length_b 4.223
_cell_length_c 13.904
_cell_angle_alpha 90.00
_cell_angle_beta 110.59
_cell_angle_gamma 90.00
loop_
_atom_site_label
_atom_site_fract_x
_atom_site_fract_y
_atom_site_fract_z
_atom_site_occupancy
Y1 0.026 0.000 0.382 1
Y2 0.099 0.000 0.920 1
Y3 0.245 0.000 0.230 1
Fe1 0.242 0.500 0.407 1
Ge1 0.045 0.500 0.241 1
Ge2 0.123 0.500 0.075 1
Ge3 0.143 0.500 0.546 1
```

---

No. 19
YFeGe3 after structural relaxation, computed with GGA-PBE.

CIF file:
```
data_YFeGe3
_chemical_formula_sum 'Y1 Fe1 Ge3'
_symmetry_space_group_name_H-M 'P m -3 m'
_symmetry_Int_Tables_number 221
_symmetry_space_group_name_Hall '-P 4 2 3'
_cell_length_a 5.346
_cell_length_b 5.346
_cell_length_c 5.346
_cell_angle_alpha 90.00
_cell_angle_beta 90.00
_cell_angle_gamma 90.00
loop_
_atom_site_label
_atom_site_fract_x
_atom_site_fract_y
_atom_site_fract_z
_atom_site_occupancy
Y1 0.000 0.000 0.000 1
Fe1 0.500 0.500 0.500 1
Ge1 0.000 0.000 0.500 1
```

---

No. 20
YbFe2Ge2 after structural relaxation, computed with GGA-PBE.

CIF file:
```
data_YbFe2Ge2
_chemical_formula_sum 'Yb2 Fe4 Ge4'
_symmetry_space_group_name_H-M 'I 4/m m m'
_symmetry_Int_Tables_number 139
_symmetry_space_group_name_Hall '-I 4 2'
_cell_length_a 3.897
_cell_length_b 3.897
_cell_length_c 10.693
_cell_angle_alpha 90.00
_cell_angle_beta 90.00
_cell_angle_gamma 90.00
loop_
_atom_site_label
_atom_site_fract_x
_atom_site_fract_y
_atom_site_fract_z
_atom_site_occupancy
Yb1 0.000 0.000 0.000 1
Fe1 0.000 0.500 0.250 1
Ge1 0.000 0.000 0.377 1
```

---

no.,ΔE_f (kJ/mol of atoms),size of the total moment (μB/f.u.)
1,-49.6,0.32
2,-29.4,0.00
3,-28.8,0.00
4,-26.9,11.65
5,-26.7,11.28
6,-44.5,1.71
7,-3.3,0.00
8,-50.8,0.55
9,-41.1,3.92
10,-40.1,4.82
11,-45.8,1.20
12,-6.5,0.05
13,22.5,5.11
14,-35.0,6.56
15,-23.2,1.42
16,-16.2,0.00
17,-37.8,0.83
18,-72.1,1.51
19,121.0,3.66
20,-36.6,2.77